This record from Alexandria describes crystalline RbSn2Bi2 at its relaxed geometry. The functional is PBE-GGA.

abc: 14.443 14.443 14.443
angles: 160.15 158.56 29.38
Element x y z (fractional)
Rb 0.336 0.086 0.250
Rb 0.664 0.914 0.750
Sn 0.039 0.789 0.250
Sn 0.464 0.714 0.750
Sn 0.536 0.286 0.250
Sn 0.961 0.211 0.750
Bi 0.110 0.360 0.750
Bi 0.222 0.472 0.750
Bi 0.778 0.528 0.250
Bi 0.890 0.640 0.250

Summary:
For the size of the total moment, the calculation gives 0.00 μB/cell. For the energy, the calculation gives -3.4399 eV/atom. For the formation energy, the calculation gives -9.0 kJ per mole of atoms. The calculation puts the energy above the most stable polymorph in this dataset at 48 meV per atom.


This record from Alexandria describes crystalline AcBiS3 at its relaxed geometry. The functional is PBE-GGA.

abc: 8.841 8.841 8.029
angles: 97.09 97.09 27.98
Element x y z (fractional)
Ac 0.201 0.201 0.241
Ac 0.799 0.799 0.759
Bi 0.433 0.433 0.293
Bi 0.567 0.567 0.707
S 0.023 0.023 0.238
S 0.187 0.187 0.615
S 0.339 0.339 0.016
S 0.661 0.661 0.984
S 0.813 0.813 0.385
S 0.977 0.977 0.762

Summary:
For the size of the total moment, the calculation gives 0.00 μB/cell. For the energy, the calculation gives -5.2451 eV/atom. As for the uncorrected formation energy: -5.85 eV per formula unit. The calculation puts the energy above the most stable polymorph in this dataset at 57 meV per atom.


This record from Alexandria describes crystalline Rb6SI2Br at its relaxed geometry. The functional is PBE-GGA.

abc: 9.176 9.176 9.006
angles: 119.35 119.35 61.32
Element x y z (fractional)
Rb 0.172 0.693 0.695
Rb 0.234 0.234 0.106
Rb 0.307 0.828 0.305
Rb 0.693 0.172 0.695
Rb 0.766 0.766 0.894
Rb 0.828 0.307 0.305
S 0.000 0.000 0.000
I 0.252 0.252 0.706
I 0.748 0.748 0.294
Br 0.500 0.500 0.500

Summary:
For the size of the total moment, the calculation gives 0.00 μB/cell. For the energy, the calculation gives -2.6463 eV/atom. As for the uncorrected formation energy: -11.76 eV per formula unit.


This record from Alexandria describes crystalline TbNd2Sm8 at its relaxed geometry. The functional is PBE-GGA.

abc: 9.054 9.054 6.777
angles: 99.65 99.65 44.08
Element x y z (fractional)
Tb 0.000 0.000 0.000
Nd 0.198 0.198 0.803
Nd 0.802 0.802 0.197
Sm 0.175 0.650 0.595
Sm 0.244 0.244 0.312
Sm 0.350 0.825 0.405
Sm 0.411 0.411 0.090
Sm 0.589 0.589 0.910
Sm 0.650 0.175 0.595
Sm 0.756 0.756 0.688
Sm 0.825 0.350 0.405

Summary:
For the size of the total moment, the calculation gives 0.00 μB/cell. For the energy, the calculation gives -4.5650 eV/atom. For the formation energy, the calculation gives 15.0 kJ per mole of atoms. The calculation puts the energy above the most stable polymorph in this dataset at 140 meV per atom.


This record from Alexandria describes crystalline ZrAu2Se at its relaxed geometry. The functional is PBE-GGA.

abc: 6.770 6.770 6.770
angles: 90.00 90.00 90.00
Element x y z (fractional)
Zr 0.000 0.000 0.000
Zr 0.000 0.500 0.500
Zr 0.500 0.000 0.500
Zr 0.500 0.500 0.000
Au 0.000 0.000 0.500
Au 0.000 0.500 0.000
Au 0.250 0.250 0.750
Au 0.250 0.750 0.250
Au 0.500 0.000 0.000
Au 0.500 0.500 0.500
Au 0.750 0.250 0.250
Au 0.750 0.750 0.750
Se 0.250 0.250 0.250
Se 0.250 0.750 0.750
Se 0.750 0.250 0.750
Se 0.750 0.750 0.250

Summary:
For the size of the total moment, the calculation gives 0.00 μB/cell. For the energy, the calculation gives -5.0171 eV/atom. As for the uncorrected formation energy: -1.48 eV per formula unit.


This record from Alexandria describes crystalline SrSc2Tc2 at its relaxed geometry. The functional is PBE-GGA.

abc: 8.352 8.352 3.026
angles: 90.00 90.00 90.00
Element x y z (fractional)
Sr 0.000 0.000 0.000
Sr 0.500 0.500 0.000
Sc 0.140 0.360 0.500
Sc 0.360 0.860 0.500
Sc 0.640 0.140 0.500
Sc 0.860 0.640 0.500
Tc 0.146 0.646 0.000
Tc 0.354 0.146 0.000
Tc 0.646 0.854 0.000
Tc 0.854 0.354 0.000

Summary:
For the size of the total moment, the calculation gives 0.00 μB/cell. For the energy, the calculation gives -6.7615 eV/atom. For the formation energy, the calculation gives 24.5 kJ per mole of atoms.